The following is a DFT calculation (PBE-GGA) of a relaxed ThVTcP2 crystal.

```
ThVTcP2
1.0
-1.943 1.943 5.743
1.943 -1.943 5.743
1.943 1.943 -5.743
Th V Tc P
1 1 1 2
Direct
0.000 0.000 0.000
0.750 0.250 0.500
0.250 0.750 0.500
0.371 0.371 0.000
0.629 0.629 0.000
```

ΔE_f ... -0.8715 eV/atom


The following is a DFT calculation (PBE-GGA) of a relaxed Ac2Cd4Hg crystal.

```
Ac2Cd4Hg
1.0
6.735 0.000 0.000
0.000 6.627 0.000
-2.050 0.000 9.111
Ac Cd Hg
4 8 2
Direct
0.121 0.250 0.408
0.247 0.750 0.012
0.753 0.250 0.988
0.879 0.750 0.592
0.279 0.250 0.088
0.318 0.750 0.414
0.408 0.522 0.703
0.408 0.978 0.703
0.592 0.022 0.297
0.592 0.478 0.297
0.682 0.250 0.586
0.721 0.750 0.912
0.097 0.250 0.774
0.903 0.750 0.226
```

ΔE_f ... -0.2941 eV/atom